# KSr3Pd

Crystalline KSr3Pd at its relaxed geometry (GGA-PBE, Alexandria).

DFT formation energy, eV per atom: 0.367
Energy above the lowest structure with this stoichiometry, eV/f.u.: 3.15

Unit cell a=11.441 b=11.441 c=7.892 alpha=90.00 beta=90.00 gamma=143.30
Fractional coordinates of all 10 atoms:
1 K 0.177 0.823 0.750
2 K 0.823 0.177 0.250
3 Sr 0.000 0.000 0.000
4 Sr 0.000 0.000 0.500
5 Sr 0.119 0.396 0.750
6 Sr 0.396 0.119 0.250
7 Sr 0.604 0.881 0.750
8 Sr 0.881 0.604 0.250
9 Pd 0.467 0.533 0.750
10 Pd 0.533 0.467 0.250